PBE Na2MoBr, relaxed; total energy = -25.4 eV/cell; theoretical density = 3.2 Mg/m³; space-group type = I-42d, No. 122; crystal system = tetragonal; energy relative to the elements, uncorrected = 0.6154 eV per atom
1.0
8.737 0.000 0.000
0.000 8.737 0.000
4.369 4.369 3.021
Na Br Mo
4 2 2
direct
0.174 0.625 0.250 Na
0.875 0.826 0.750 Na
0.576 0.125 0.250 Na
0.375 0.424 0.750 Na
0.500 0.500 0.000 Br
0.250 0.750 0.500 Br
0.000 0.000 0.000 Mo
0.750 0.250 0.500 Mo